No. 1
Computed, not measured: crystalline Tl2HgS2 at its relaxed geometry at the PBE level of DFT.

a = 5.570 Å, b = 5.570 Å, c = 6.342 Å
α = 63.95°, β = 63.95°, γ = 90.00°
Sites, in units of the cell vectors:
1 Tl 0.250 0.750 0.500
2 Tl 0.750 0.250 0.500
3 Hg 0.000 0.000 0.000
4 S 0.604 0.604 0.792
5 S 0.396 0.396 0.208

Its formation energy without anion corrections is -0.14 eV/atom. For the density of states at the Fermi level, the calculation gives 0.00 states/eV/cell. As for the space group: I4/mmm (139). As for the mass density: 7.251 g/cm³.

No. 2
Computed, not measured: crystalline TlHg5S5 at its relaxed geometry at the PBE level of DFT.

a = 6.275 Å, b = 7.147 Å, c = 8.158 Å
α = 112.95°, β = 90.00°, γ = 116.04°
Sites, in units of the cell vectors:
1 S 0.500 0.000 0.000
2 S 0.852 0.703 0.200
3 S 0.148 0.297 0.800
4 S 0.765 0.529 0.657
5 S 0.235 0.471 0.343
6 Hg 0.310 0.619 0.679
7 Hg 0.000 0.000 0.500
8 Hg 0.370 0.741 0.187
9 Hg 0.690 0.381 0.321
10 Hg 0.630 0.259 0.813
11 Tl 0.000 0.000 0.000

Its formation energy without anion corrections is 0.01 eV/atom. For the density of states at the Fermi level, the calculation gives 2.56 states/eV/cell. As for the space group: C2/m (12). As for the mass density: 7.668 g/cm³.

No. 3
Computed, not measured: crystalline TlHg2S3 at its relaxed geometry at the PBE level of DFT.

a = 7.139 Å, b = 7.499 Å, c = 7.499 Å
α = 119.93°, β = 90.00°, γ = 90.00°
Sites, in units of the cell vectors:
1 S 0.451 0.833 0.833
2 S 0.420 0.523 0.172
3 S 0.951 0.167 0.167
4 S 0.920 0.477 0.828
5 S 0.420 0.172 0.523
6 S 0.920 0.828 0.477
7 Hg 0.052 0.497 0.160
8 Hg 0.552 0.503 0.840
9 Hg 0.052 0.160 0.497
10 Hg 0.552 0.840 0.503
11 Tl 0.062 0.815 0.815
12 Tl 0.562 0.185 0.185

Its formation energy without anion corrections is -0.09 eV/atom. For the density of states at the Fermi level, the calculation gives 6.88 states/eV/cell. As for the space group: Cmc2_1 (36). As for the mass density: 6.700 g/cm³.

No. 4
Computed, not measured: crystalline Tl3Hg3S at its relaxed geometry at the PBE level of DFT.

a = 4.103 Å, b = 8.196 Å, c = 12.588 Å
α = 85.99°, β = 90.00°, γ = 90.00°
Sites, in units of the cell vectors:
1 Hg 0.250 0.765 0.884
2 Hg 0.250 0.461 0.248
3 Hg 0.750 0.626 0.067
4 Hg 0.250 0.374 0.933
5 Hg 0.750 0.235 0.116
6 Hg 0.750 0.539 0.752
7 Tl 0.250 0.922 0.136
8 Tl 0.250 0.850 0.616
9 Tl 0.750 0.150 0.384
10 Tl 0.750 0.078 0.864
11 Tl 0.250 0.354 0.590
12 Tl 0.750 0.646 0.410
13 S 0.750 0.101 0.637
14 S 0.250 0.899 0.363

Its formation energy without anion corrections is -0.13 eV/atom. For the density of states at the Fermi level, the calculation gives 2.71 states/eV/cell. As for the space group: P2_1/m (11). As for the mass density: 9.807 g/cm³.